Material: Nd3Sb2P
Method: DFT, PBE
State: optimized geometry

## Properties
total moment = 0.000 μB/cell
space group = Fddd (70)
offset from the most stable computed form = 0 meV per atom
energy relative to the elements, uncorrected = -123 kJ/mol of atoms
calculated total energy = -5.934 eV/atom

Geometry as CIF:
```
data_Nd3Sb2P
_chemical_formula_sum 'Nd12 Sb8 P4'
_cell_length_a 14.566
_cell_length_b 13.884
_cell_length_c 7.644
_cell_angle_alpha 79.40
_cell_angle_beta 69.55
_cell_angle_gamma 31.06
_space_group_name_H-M_alt 'P 1'
_space_group_IT_number 1
_space_group_name_Hall 'P 1'
loop_
_atom_site_label
_atom_site_type_symbol
_atom_site_fract_x
_atom_site_fract_y
_atom_site_fract_z
_atom_site_occupancy
Nd1 Nd 0.039 0.537 0.196 1
Nd2 Nd 0.106 0.644 0.644 1
Nd3 Nd 0.196 0.728 0.039 1
Nd4 Nd 0.272 0.804 0.463 1
Nd5 Nd 0.356 0.894 0.894 1
Nd6 Nd 0.463 0.961 0.272 1
Nd7 Nd 0.537 0.039 0.728 1
Nd8 Nd 0.644 0.106 0.106 1
Nd9 Nd 0.728 0.196 0.537 1
Nd10 Nd 0.804 0.272 0.961 1
Nd11 Nd 0.894 0.356 0.356 1
Nd12 Nd 0.961 0.463 0.804 1
Sb1 Sb 0.127 0.127 0.623 1
Sb2 Sb 0.294 0.294 0.456 1
Sb3 Sb 0.377 0.377 0.873 1
Sb4 Sb 0.456 0.456 0.294 1
Sb5 Sb 0.544 0.544 0.706 1
Sb6 Sb 0.623 0.623 0.127 1
Sb7 Sb 0.706 0.706 0.544 1
Sb8 Sb 0.873 0.873 0.377 1
P1 P 0.042 0.042 0.208 1
P2 P 0.208 0.208 0.042 1
P3 P 0.792 0.792 0.958 1
P4 P 0.958 0.958 0.792 1
```

***

Material: AlTlF4
Method: DFT, PBE
State: optimized geometry

## Properties
total moment = 0.000 μB/cell
space group = P4/mbm (127)
energy relative to the elements, uncorrected = -289 kJ/mol of atoms
calculated total energy = -5.266 eV/atom

Geometry as CIF:
```
data_AlTlF4
_chemical_formula_sum 'Al2 Tl2 F8'
_cell_length_a 5.180
_cell_length_b 5.180
_cell_length_c 6.487
_cell_angle_alpha 90.00
_cell_angle_beta 90.00
_cell_angle_gamma 90.00
_space_group_name_H-M_alt 'P 1'
_space_group_IT_number 1
_space_group_name_Hall 'P 1'
loop_
_atom_site_label
_atom_site_type_symbol
_atom_site_fract_x
_atom_site_fract_y
_atom_site_fract_z
_atom_site_occupancy
Al1 Al 0.000 0.000 0.000 1
Al2 Al 0.500 0.500 0.000 1
Tl1 Tl 0.000 0.500 0.500 1
Tl2 Tl 0.500 0.000 0.500 1
F1 F 0.000 0.000 0.277 1
F2 F 0.000 0.000 0.723 1
F3 F 0.211 0.289 0.000 1
F4 F 0.289 0.789 0.000 1
F5 F 0.500 0.500 0.277 1
F6 F 0.500 0.500 0.723 1
F7 F 0.711 0.211 0.000 1
F8 F 0.789 0.711 0.000 1
```

***

Material: La3TbSm2S6
Method: DFT, PBE
State: optimized geometry

## Properties
total moment = 0.000 μB/cell
space group = C2/m (12)
energy relative to the elements, uncorrected = -203 kJ/mol of atoms
calculated total energy = -6.568 eV/atom

Geometry as CIF:
```
data_La3TbSm2S6
_chemical_formula_sum 'La3 Tb1 Sm2 S6'
_cell_length_a 7.036
_cell_length_b 7.036
_cell_length_c 7.068
_cell_angle_alpha 99.56
_cell_angle_beta 99.56
_cell_angle_gamma 120.11
_space_group_name_H-M_alt 'P 1'
_space_group_IT_number 1
_space_group_name_Hall 'P 1'
loop_
_atom_site_label
_atom_site_type_symbol
_atom_site_fract_x
_atom_site_fract_y
_atom_site_fract_z
_atom_site_occupancy
La1 La 0.000 0.000 0.000 1
La2 La 0.332 0.668 0.000 1
La3 La 0.668 0.332 0.000 1
Tb1 Tb 0.500 0.500 0.500 1
Sm1 Sm 0.167 0.833 0.500 1
Sm2 Sm 0.833 0.167 0.500 1
S1 S 0.093 0.421 0.264 1
S2 S 0.251 0.251 0.738 1
S3 S 0.421 0.093 0.264 1
S4 S 0.579 0.907 0.736 1
S5 S 0.749 0.749 0.262 1
S6 S 0.907 0.579 0.736 1
```

***

Material: Al3In2
Method: DFT, PBE
State: optimized geometry

## Properties
total moment = 0.000 μB/cell
space group = P-3m1 (164)
offset from the most stable computed form = 113 meV per atom
calculated total energy = -3.074 eV/atom
formation energy = 0.267 eV per atom

Geometry as CIF:
```
data_Al3In2
_chemical_formula_sum 'Al3 In2'
_cell_length_a 4.229
_cell_length_b 4.229
_cell_length_c 7.623
_cell_angle_alpha 90.00
_cell_angle_beta 90.00
_cell_angle_gamma 120.00
_space_group_name_H-M_alt 'P 1'
_space_group_IT_number 1
_space_group_name_Hall 'P 1'
loop_
_atom_site_label
_atom_site_type_symbol
_atom_site_fract_x
_atom_site_fract_y
_atom_site_fract_z
_atom_site_occupancy
Al1 Al 0.000 0.000 0.000 1
Al2 Al 0.333 0.667 0.415 1
Al3 Al 0.667 0.333 0.585 1
In1 In 0.333 0.667 0.793 1
In2 In 0.667 0.333 0.207 1
```

***

Material: Ba3PaO6
Method: DFT, PBE
State: optimized geometry

## Properties
total moment = 2.194 μB/cell
space group = R-3 (148)
energy relative to the elements, uncorrected = -280 kJ/mol of atoms
calculated total energy = -7.406 eV/atom

Geometry as CIF:
```
data_Ba3PaO6
_chemical_formula_sum 'Ba6 Pa2 O12'
_cell_length_a 7.520
_cell_length_b 7.520
_cell_length_c 7.520
_cell_angle_alpha 91.04
_cell_angle_beta 91.04
_cell_angle_gamma 91.04
_space_group_name_H-M_alt 'P 1'
_space_group_IT_number 1
_space_group_name_Hall 'P 1'
loop_
_atom_site_label
_atom_site_type_symbol
_atom_site_fract_x
_atom_site_fract_y
_atom_site_fract_z
_atom_site_occupancy
Ba1 Ba 0.052 0.554 0.751 1
Ba2 Ba 0.249 0.948 0.446 1
Ba3 Ba 0.446 0.249 0.948 1
Ba4 Ba 0.554 0.751 0.052 1
Ba5 Ba 0.751 0.052 0.554 1
Ba6 Ba 0.948 0.446 0.249 1
Pa1 Pa 0.000 0.000 0.000 1
Pa2 Pa 0.500 0.500 0.500 1
O1 O 0.038 0.918 0.725 1
O2 O 0.082 0.275 0.962 1
O3 O 0.226 0.570 0.441 1
O4 O 0.275 0.962 0.082 1
O5 O 0.430 0.559 0.774 1
O6 O 0.441 0.226 0.570 1
O7 O 0.559 0.774 0.430 1
O8 O 0.570 0.441 0.226 1
O9 O 0.725 0.038 0.918 1
O10 O 0.774 0.430 0.559 1
O11 O 0.918 0.725 0.038 1
O12 O 0.962 0.082 0.275 1
```

***

Material: Pr4Nd9Hg11
Method: DFT, PBE
State: optimized geometry

## Properties
total moment = 1.026 μB/cell
space group = Cmmm (65)
calculated total energy = -3.107 eV/atom
formation energy = -0.384 eV per atom

Geometry as CIF:
```
data_Pr4Nd9Hg11
_chemical_formula_sum 'Pr4 Nd9 Hg11'
_cell_length_a 14.132
_cell_length_b 14.132
_cell_length_c 3.682
_cell_angle_alpha 90.00
_cell_angle_beta 90.00
_cell_angle_gamma 110.37
_space_group_name_H-M_alt 'P 1'
_space_group_IT_number 1
_space_group_name_Hall 'P 1'
loop_
_atom_site_label
_atom_site_type_symbol
_atom_site_fract_x
_atom_site_fract_y
_atom_site_fract_z
_atom_site_occupancy
Pr1 Pr 0.072 0.245 0.000 1
Pr2 Pr 0.245 0.072 0.000 1
Pr3 Pr 0.755 0.928 0.000 1
Pr4 Pr 0.928 0.755 0.000 1
Nd1 Nd 0.000 0.000 0.000 1
Nd2 Nd 0.118 0.649 0.000 1
Nd3 Nd 0.295 0.476 0.000 1
Nd4 Nd 0.351 0.882 0.000 1
Nd5 Nd 0.476 0.295 0.000 1
Nd6 Nd 0.524 0.705 0.000 1
Nd7 Nd 0.649 0.118 0.000 1
Nd8 Nd 0.705 0.524 0.000 1
Nd9 Nd 0.882 0.351 0.000 1
Hg1 Hg 0.090 0.448 0.500 1
Hg2 Hg 0.133 0.867 0.500 1
Hg3 Hg 0.276 0.276 0.500 1
Hg4 Hg 0.321 0.679 0.500 1
Hg5 Hg 0.448 0.090 0.500 1
Hg6 Hg 0.500 0.500 0.500 1
Hg7 Hg 0.552 0.910 0.500 1
Hg8 Hg 0.679 0.321 0.500 1
Hg9 Hg 0.724 0.724 0.500 1
Hg10 Hg 0.867 0.133 0.500 1
Hg11 Hg 0.910 0.552 0.500 1
```

***

Material: AlP2
Method: DFT, PBE
State: optimized geometry

## Properties
total moment = 0.000 μB/cell
space group = P6/mmm (191)
calculated total energy = -4.465 eV/atom
formation energy = 0.389 eV per atom

Geometry as CIF:
```
data_AlP2
_chemical_formula_sum 'Al1 P2'
_cell_length_a 4.113
_cell_length_b 4.113
_cell_length_c 3.248
_cell_angle_alpha 90.00
_cell_angle_beta 90.00
_cell_angle_gamma 120.00
_space_group_name_H-M_alt 'P 1'
_space_group_IT_number 1
_space_group_name_Hall 'P 1'
loop_
_atom_site_label
_atom_site_type_symbol
_atom_site_fract_x
_atom_site_fract_y
_atom_site_fract_z
_atom_site_occupancy
Al1 Al 0.000 0.000 0.000 1
P1 P 0.333 0.667 0.500 1
P2 P 0.667 0.333 0.500 1
```

***

Material: YSbP2
Method: DFT, PBE
State: optimized geometry

## Properties
total moment = 0.000 μB/cell
space group = P4/mmm (123)
energy relative to the elements, uncorrected = -41 kJ/mol of atoms
calculated total energy = -5.771 eV/atom

Geometry as CIF:
```
data_YSbP2
_chemical_formula_sum 'Y1 Sb1 P2'
_cell_length_a 4.767
_cell_length_b 4.767
_cell_length_c 3.622
_cell_angle_alpha 90.00
_cell_angle_beta 90.00
_cell_angle_gamma 90.00
_space_group_name_H-M_alt 'P 1'
_space_group_IT_number 1
_space_group_name_Hall 'P 1'
loop_
_atom_site_label
_atom_site_type_symbol
_atom_site_fract_x
_atom_site_fract_y
_atom_site_fract_z
_atom_site_occupancy
Y1 Y 0.000 0.000 0.000 1
Sb1 Sb 0.500 0.500 0.000 1
P1 P 0.000 0.500 0.500 1
P2 P 0.500 0.000 0.500 1
```

***

Material: NaGaI2
Method: DFT, PBE
State: optimized geometry

## Properties
total moment = 0.000 μB/cell
space group = P4/mmm (123)
offset from the most stable computed form = 114 meV per atom
energy relative to the elements, uncorrected = -65 kJ/mol of atoms
calculated total energy = -2.539 eV/atom

Geometry as CIF:
```
data_NaGaI2
_chemical_formula_sum 'Na1 Ga1 I2'
_cell_length_a 5.715
_cell_length_b 5.715
_cell_length_c 4.051
_cell_angle_alpha 90.00
_cell_angle_beta 90.00
_cell_angle_gamma 90.00
_space_group_name_H-M_alt 'P 1'
_space_group_IT_number 1
_space_group_name_Hall 'P 1'
loop_
_atom_site_label
_atom_site_type_symbol
_atom_site_fract_x
_atom_site_fract_y
_atom_site_fract_z
_atom_site_occupancy
Na1 Na 0.000 0.000 0.000 1
Ga1 Ga 0.500 0.500 0.000 1
I1 I 0.000 0.500 0.500 1
I2 I 0.500 0.000 0.500 1
```

***

Material: NdY4Tm2
Method: DFT, PBE
State: optimized geometry

## Properties
total moment = 0.000 μB/cell
space group = C2/m (12)
offset from the most stable computed form = 0 meV per atom
calculated total energy = -5.626 eV/atom
formation energy = 0.027 eV per atom

Geometry as CIF:
```
data_NdY4Tm2
_chemical_formula_sum 'Nd2 Y8 Tm4'
_cell_length_a 16.651
_cell_length_b 3.544
_cell_length_c 8.746
_cell_angle_alpha 90.00
_cell_angle_beta 119.20
_cell_angle_gamma 90.00
_space_group_name_H-M_alt 'P 1'
_space_group_IT_number 1
_space_group_name_Hall 'P 1'
loop_
_atom_site_label
_atom_site_type_symbol
_atom_site_fract_x
_atom_site_fract_y
_atom_site_fract_z
_atom_site_occupancy
Nd1 Nd 0.000 0.000 0.000 1
Nd2 Nd 0.500 0.500 0.000 1
Y1 Y 0.139 0.500 0.829 1
Y2 Y 0.205 0.500 0.294 1
Y3 Y 0.295 0.000 0.706 1
Y4 Y 0.361 0.000 0.171 1
Y5 Y 0.639 0.000 0.829 1
Y6 Y 0.705 0.000 0.294 1
Y7 Y 0.795 0.500 0.706 1
Y8 Y 0.861 0.500 0.171 1
Tm1 Tm 0.071 0.000 0.431 1
Tm2 Tm 0.429 0.500 0.569 1
Tm3 Tm 0.571 0.500 0.431 1
Tm4 Tm 0.929 0.000 0.569 1
```

***

Material: La4CCl2O
Method: DFT, PBE
State: optimized geometry

## Properties
total moment = 0.000 μB/cell
space group = P2/m (10)
energy relative to the elements, uncorrected = -159 kJ/mol of atoms
calculated total energy = -6.342 eV/atom

Geometry as CIF:
```
data_La4CCl2O
_chemical_formula_sum 'La4 C1 Cl2 O1'
_cell_length_a 6.559
_cell_length_b 3.821
_cell_length_c 7.506
_cell_angle_alpha 90.00
_cell_angle_beta 107.14
_cell_angle_gamma 90.00
_space_group_name_H-M_alt 'P 1'
_space_group_IT_number 1
_space_group_name_Hall 'P 1'
loop_
_atom_site_label
_atom_site_type_symbol
_atom_site_fract_x
_atom_site_fract_y
_atom_site_fract_z
_atom_site_occupancy
La1 La 0.232 0.000 0.192 1
La2 La 0.266 0.500 0.806 1
La3 La 0.734 0.500 0.194 1
La4 La 0.768 0.000 0.808 1
C1 C 0.500 0.000 0.000 1
Cl1 Cl 0.000 0.000 0.500 1
Cl2 Cl 0.500 0.500 0.500 1
O1 O 0.000 0.500 0.000 1
```

***

Material: Dy2CuTe
Method: DFT, PBE
State: optimized geometry

## Properties
total moment = 0.000 μB/cell
space group = Cmcm (63)
offset from the most stable computed form = 0 meV per atom
energy relative to the elements, uncorrected = -73 kJ/mol of atoms
calculated total energy = -4.867 eV/atom

Geometry as CIF:
```
data_Dy2CuTe
_chemical_formula_sum 'Dy8 Cu4 Te4'
_cell_length_a 4.043
_cell_length_b 22.836
_cell_length_c 4.420
_cell_angle_alpha 90.00
_cell_angle_beta 90.00
_cell_angle_gamma 90.00
_space_group_name_H-M_alt 'P 1'
_space_group_IT_number 1
_space_group_name_Hall 'P 1'
loop_
_atom_site_label
_atom_site_type_symbol
_atom_site_fract_x
_atom_site_fract_y
_atom_site_fract_z
_atom_site_occupancy
Dy1 Dy 0.000 0.059 0.250 1
Dy2 Dy 0.000 0.337 0.250 1
Dy3 Dy 0.000 0.663 0.750 1
Dy4 Dy 0.000 0.941 0.750 1
Dy5 Dy 0.500 0.163 0.750 1
Dy6 Dy 0.500 0.441 0.750 1
Dy7 Dy 0.500 0.559 0.250 1
Dy8 Dy 0.500 0.837 0.250 1
Cu1 Cu 0.000 0.466 0.250 1
Cu2 Cu 0.000 0.534 0.750 1
Cu3 Cu 0.500 0.034 0.750 1
Cu4 Cu 0.500 0.966 0.250 1
Te1 Te 0.000 0.196 0.250 1
Te2 Te 0.000 0.804 0.750 1
Te3 Te 0.500 0.304 0.750 1
Te4 Te 0.500 0.696 0.250 1
```